First-principles (PBE) data for a relaxed BaRuPt crystal, as listed in Alexandria via LeMat-Bulk.

```
BaRuPt
1.0
-1.219 -0.715 -5.990
0.375 -4.940 -3.650
-2.109 2.794 5.062
Ba Pt Ru
1 1 1
Direct
0.999 0.999 0.000 Ba
0.282 0.282 0.000 Pt
0.719 0.719 0.000 Ru
```

Properties
ΔE to the lowest computed polymorph in meV per atom: 317
Space-group type: No. 44


First-principles (PBE) data for a relaxed NdPdAu crystal, as listed in Alexandria via LeMat-Bulk.

```
NdPdAu
1.0
-3.420 -0.015 -2.364
-2.906 -4.708 0.577
-5.224 1.510 3.892
Nd Pd Au
2 2 2
Direct
0.548 0.195 0.710 Nd
0.452 0.805 0.290 Nd
0.148 0.367 0.337 Pd
0.852 0.633 0.663 Pd
0.834 0.257 0.074 Au
0.166 0.743 0.926 Au
```

Properties
ΔE to the lowest computed polymorph in meV per atom: 0
Space-group type: No. 12


First-principles (PBE) data for a relaxed Tb2Y12Tm crystal, as listed in Alexandria via LeMat-Bulk.

```
Tb2Y12Tm
1.0
6.601 -1.451 -0.130
-1.451 6.601 -0.130
-0.721 -0.721 23.547
Tb Y Tm
4 24 2
Direct
0.570 0.070 0.284 Tb
0.070 0.570 0.284 Tb
0.930 0.430 0.716 Tb
0.430 0.930 0.716 Tb
0.702 0.702 0.808 Y
0.202 0.202 0.808 Y
0.983 0.983 0.934 Y
0.214 0.714 0.855 Y
0.080 0.080 0.321 Y
0.286 0.786 0.145 Y
0.646 0.146 0.575 Y
0.580 0.580 0.321 Y
0.483 0.483 0.934 Y
0.517 0.517 0.066 Y
0.141 0.140 0.557 Y
0.854 0.354 0.425 Y
0.920 0.920 0.679 Y
0.359 0.360 0.443 Y
0.017 0.017 0.066 Y
0.860 0.859 0.443 Y
0.640 0.641 0.557 Y
0.798 0.798 0.192 Y
0.145 0.645 0.575 Y
0.420 0.420 0.679 Y
0.714 0.214 0.855 Y
0.298 0.298 0.192 Y
0.355 0.855 0.425 Y
0.786 0.286 0.145 Y
0.500 0.000 0.000 Tm
0.000 0.500 0.000 Tm
```

Properties
Space-group type: No. 10


So what do the calculations give for magnetic moment? Going down the list: 0.00 0.00 0.00 μB per cell.
So what do the calculations give for E_form? Going down the list: 0.202 -0.779 0.078 eV/atom.
So what do the calculations give for DFT total energy? Going down the list: -5.54 -5.19 -6.01 eV per atom.